1.
A relaxed structure of CoSb2As, computed with GGA-PBE.

a b c (Å): 6.3112 7.4377 3.4481
angles (deg): 90.00 90.00 90.00
Space group Cmmm (No. 65)
Symmetry-distinct sites (fractional):
Co 0.0000 0.0000 0.0000 (multiplicity 2)
Sb 0.2500 0.2500 0.5000 (multiplicity 4)
As 0.0000 0.5000 0.0000 (multiplicity 2)

Density of states at the Fermi level, states/eV/atom: 1.2121
E, eV for the cell shown: -36.12
Volume, Å³/atom: 20.23
Uncorrected formation energy, kJ per mole of atoms: 46.83

2.
A relaxed structure of CaAc2ErSb4, computed with GGA-PBE.

a b c (Å): 7.8631 4.6614 8.1137
angles (deg): 90.00 109.90 90.00
Space group P2/m (No. 10)
Symmetry-distinct sites (fractional):
Ca 0.0000 0.0000 0.0000 (multiplicity 1)
Ac 0.5000 0.0000 0.5000 (multiplicity 1)
Ac 0.5000 0.5000 0.0000 (multiplicity 1)
Er 0.0000 0.5000 0.5000 (multiplicity 1)
Sb 0.2267 0.0000 0.7364 (multiplicity 2)
Sb 0.2300 0.5000 0.2500 (multiplicity 2)

Density of states at the Fermi level, states/eV/atom: 0.7088
E, eV for the cell shown: -39.58
Volume, Å³/atom: 34.95
Uncorrected formation energy, kJ per mole of atoms: -100.21

3.
A relaxed structure of Rb2Sn6Hg, computed with GGA-PBE.

a b c (Å): 12.8849 6.6550 7.5657
angles (deg): 90.00 108.59 90.00
Space group C2/m (No. 12)
Symmetry-distinct sites (fractional):
Rb 0.1464 0.0000 0.3712 (multiplicity 4)
Sn 0.1126 0.5000 0.1486 (multiplicity 4)
Sn 0.1408 0.2378 0.8432 (multiplicity 8)
Hg 0.0000 0.5000 0.5000 (multiplicity 2)

Calculated formation energy, meV per atom: -109
Density of states at the Fermi level, states/eV/atom: 0.2835
E, eV for the cell shown: -54.46
Volume, Å³/atom: 34.16

4.
A relaxed structure of Y2Be, computed with GGA-PBE.

a b c (Å): 7.4175 7.4175 4.5922
angles (deg): 90.00 90.00 120.00
Space group P-62m (No. 189)
Symmetry-distinct sites (fractional):
Y 0.0000 0.2705 0.0000 (multiplicity 3)
Y 0.0000 0.6040 0.5000 (multiplicity 3)
Be 0.0000 0.0000 0.5000 (multiplicity 1)
Be 0.3333 0.6667 0.0000 (multiplicity 2)

Calculated formation energy, meV per atom: 132
Density of states at the Fermi level, states/eV/atom: 1.1561
E, eV for the cell shown: -48.77
Volume, Å³/atom: 24.31
Energy relative to the lowest polymorph listed for this composition, kJ per mole of atoms: 7.23

5.
A relaxed structure of YHfZr2N4, computed with GGA-PBE.

a b c (Å): 5.7103 3.2831 5.7209
angles (deg): 90.00 109.22 90.00
Space group P2/m (No. 10)
Symmetry-distinct sites (fractional):
Y 0.0000 0.0000 0.0000 (multiplicity 1)
Hf 0.0000 0.5000 0.5000 (multiplicity 1)
Zr 0.5000 0.0000 0.5000 (multiplicity 1)
Zr 0.5000 0.5000 0.0000 (multiplicity 1)
N 0.2450 0.0000 0.7359 (multiplicity 2)
N 0.2553 0.5000 0.2659 (multiplicity 2)

Density of states at the Fermi level, states/eV/atom: 0.1385
E, eV for the cell shown: -80.46
Volume, Å³/atom: 12.66
Uncorrected formation energy, kJ per mole of atoms: -164.54

6.
A relaxed structure of Ac4Ga2Cu, computed with GGA-PBE.

a b c (Å): 5.6180 5.6180 16.1471
angles (deg): 90.00 90.00 90.00
Space group I4/mmm (No. 139)
Symmetry-distinct sites (fractional):
Ac 0.0000 0.0000 0.1925 (multiplicity 4)
Ac 0.0000 0.5000 0.0000 (multiplicity 4)
Ga 0.0000 0.0000 0.3846 (multiplicity 4)
Cu 0.0000 0.0000 0.0000 (multiplicity 2)

Calculated formation energy, meV per atom: -72
Density of states at the Fermi level, states/eV/atom: 0.9722
E, eV for the cell shown: -54.17
Volume, Å³/atom: 36.40

7.
A relaxed structure of SnSbOF2, computed with GGA-PBE.

a b c (Å): 4.5787 4.5787 4.1320
angles (deg): 90.00 90.00 90.00
Space group P4/mmm (No. 123)
Symmetry-distinct sites (fractional):
Sn 0.0000 0.0000 0.0000 (multiplicity 1)
Sb 0.5000 0.5000 0.5000 (multiplicity 1)
O 0.0000 0.0000 0.5000 (multiplicity 1)
F 0.0000 0.5000 0.0000 (multiplicity 2)

Density of states at the Fermi level, states/eV/atom: 0.5950
E, eV for the cell shown: -22.08
Volume, Å³/atom: 17.33
Uncorrected formation energy, kJ per mole of atoms: -101.33
Energy relative to the lowest polymorph listed for this composition, kJ per mole of atoms: 13.02

8.
A relaxed structure of PrIn2Pd3, computed with GGA-PBE.

a b c (Å): 9.8706 9.0645 5.7914
angles (deg): 90.00 90.00 90.00
Space group Cmcm (No. 63)
Symmetry-distinct sites (fractional):
Pr 0.0000 0.2178 0.2500 (multiplicity 4)
In 0.2399 0.5000 0.0000 (multiplicity 8)
Pd 0.0000 0.4678 0.7500 (multiplicity 4)
Pd 0.1674 0.2306 0.7500 (multiplicity 8)

Calculated formation energy, meV per atom: -572
Density of states at the Fermi level, states/eV/atom: 0.5058
E, eV for the cell shown: -117.06
Volume, Å³/atom: 21.59

9.
A relaxed structure of K2Be2F7, computed with GGA-PBE.

a b c (Å): 7.5256 8.4491 5.1039
angles (deg): 90.00 95.21 90.00
Space group C2/m (No. 12)
Symmetry-distinct sites (fractional):
K 0.0000 0.2388 0.0000 (multiplicity 4)
Be 0.2138 0.5000 0.5235 (multiplicity 4)
F 0.0000 0.5000 0.5000 (multiplicity 2)
F 0.2196 0.0000 0.1880 (multiplicity 4)
F 0.2234 0.1418 0.6425 (multiplicity 8)

Density of states at the Fermi level, states/eV/atom: 0.1123
E, eV for the cell shown: -107.59
Volume, Å³/atom: 14.69
Uncorrected formation energy, kJ per mole of atoms: -272.32

10.
A relaxed structure of La8Nd3Ho2, computed with GGA-PBE.

a b c (Å): 13.5057 11.9564 6.2619
angles (deg): 90.00 112.70 90.00
Space group C2/m (No. 12)
Symmetry-distinct sites (fractional):
La 0.0517 0.0000 0.2936 (multiplicity 4)
La 0.1446 0.5000 0.5571 (multiplicity 4)
La 0.1749 0.2412 0.1723 (multiplicity 8)
Nd 0.0000 0.2522 0.5000 (multiplicity 4)
Nd 0.0000 0.5000 0.0000 (multiplicity 2)
Ho 0.2118 0.0000 0.8390 (multiplicity 4)

Calculated formation energy, meV per atom: 141
Density of states at the Fermi level, states/eV/atom: 1.7067
E, eV for the cell shown: -122.08
Volume, Å³/atom: 35.88
Energy relative to the lowest polymorph listed for this composition, kJ per mole of atoms: 0.00

11.
A relaxed structure of Li2CaMg, computed with GGA-PBE.

a b c (Å): 11.6345 3.7419 5.3023
angles (deg): 90.00 116.30 90.00
Space group Cm (No. 8)
Symmetry-distinct sites (fractional):
Li 0.0000 0.0000 0.0000 (multiplicity 2)
Li 0.2148 0.5000 0.2187 (multiplicity 2)
Ca 0.2280 0.0000 0.7305 (multiplicity 2)
Mg 0.4507 0.0000 0.4470 (multiplicity 2)

Calculated formation energy, meV per atom: 6
Density of states at the Fermi level, states/eV/atom: 0.6017
E, eV for the cell shown: -14.80
Volume, Å³/atom: 25.87

12.
A relaxed structure of Er5Bi2Pd, computed with GGA-PBE.

a b c (Å): 7.9845 12.2717 4.5675
angles (deg): 90.00 90.00 90.00
Space group Pbam (No. 55)
Symmetry-distinct sites (fractional):
Er 0.0000 0.0000 0.0000 (multiplicity 2)
Er 0.1437 0.2964 0.0000 (multiplicity 4)
Er 0.1834 0.5650 0.5000 (multiplicity 4)
Bi 0.0712 0.8274 0.5000 (multiplicity 4)
Pd 0.0000 0.5000 0.0000 (multiplicity 2)

Calculated formation energy, meV per atom: -639
Density of states at the Fermi level, states/eV/atom: 0.8015
E, eV for the cell shown: -81.76
Volume, Å³/atom: 27.97
Energy relative to the lowest polymorph listed for this composition, kJ per mole of atoms: 0.00

Question: Which formula does entry 5 have?
Answer: YHfZr2N4

Question: volume of number 9 (K2Be2F7)?
Answer: 14.69 Å³/atom